[1]
The following is a PBE calculation of a geometry-optimized Dy3InNi structure, from Alexandria via LeMat-Bulk.

Density of states at the Fermi level (states/eV/f.u.): 6.216
Polymorph energy (0 for the lowest one) (meV per atom): 97
DFT formation energy (eV/atom): -0.218

```
data_Dy3InNi
_chemical_formula_sum 'Dy3 In1 Ni1'
_symmetry_space_group_name_H-M 'P m -3 m'
_symmetry_Int_Tables_number 221
_symmetry_space_group_name_Hall '-P 4 2 3'
_cell_length_a 5.183
_cell_length_b 5.183
_cell_length_c 5.183
_cell_angle_alpha 90.00
_cell_angle_beta 90.00
_cell_angle_gamma 90.00
loop_
_atom_site_label
_atom_site_fract_x
_atom_site_fract_y
_atom_site_fract_z
Dy1 0.000 0.000 0.500
In1 0.500 0.500 0.500
Ni1 0.000 0.000 0.000
```



[2]
The following is a PBE calculation of a geometry-optimized Dy3In3Ni2 structure, from Alexandria via LeMat-Bulk.

Density of states at the Fermi level (states/eV/f.u.): 5.859
DFT formation energy (eV/atom): -0.462

```
data_Dy3In3Ni2
_chemical_formula_sum 'Dy6 In6 Ni4'
_symmetry_space_group_name_H-M 'C 1 2/m 1'
_symmetry_Int_Tables_number 12
_cell_length_a 16.847
_cell_length_b 4.354
_cell_length_c 5.014
_cell_angle_alpha 90.00
_cell_angle_beta 100.75
_cell_angle_gamma 90.00
loop_
_symmetry_equiv_pos_as_xyz
'x,y,z'
'-x,-y,-z'
'-x,y,-z'
'x,-y,z'
'x+1/2,y+1/2,z'
'-x+1/2,-y+1/2,-z'
'-x+1/2,y+1/2,-z'
'x+1/2,-y+1/2,z'
loop_
_atom_site_label
_atom_site_fract_x
_atom_site_fract_y
_atom_site_fract_z
Dy1 0.000 0.000 0.000
Dy2 0.167 0.000 0.598
In1 0.000 0.500 0.500
In2 0.139 0.500 0.086
Ni1 0.228 0.000 0.129
```



[3]
The following is a PBE calculation of a geometry-optimized Dy12InNi6 structure, from Alexandria via LeMat-Bulk.

Density of states at the Fermi level (states/eV/f.u.): 18.704
DFT formation energy (eV/atom): -0.367

```
data_Dy12InNi6
_chemical_formula_sum 'Dy24 In2 Ni12'
_symmetry_space_group_name_H-M 'I m -3'
_symmetry_Int_Tables_number 204
_symmetry_space_group_name_Hall '-I 2 2 3'
_cell_length_a 9.701
_cell_length_b 9.701
_cell_length_c 9.701
_cell_angle_alpha 90.00
_cell_angle_beta 90.00
_cell_angle_gamma 90.00
loop_
_atom_site_label
_atom_site_fract_x
_atom_site_fract_y
_atom_site_fract_z
Dy1 0.000 0.303 0.187
In1 0.000 0.000 0.000
Ni1 0.000 0.123 0.500
```



[4]
The following is a PBE calculation of a geometry-optimized Dy3In4Ni2 structure, from Alexandria via LeMat-Bulk.

Density of states at the Fermi level (states/eV/f.u.): 4.721
DFT formation energy (eV/atom): -0.416

```
data_Dy3In4Ni2
_chemical_formula_sum 'Dy6 In8 Ni4'
_symmetry_space_group_name_H-M 'C 1 2/m 1'
_symmetry_Int_Tables_number 12
_cell_length_a 11.121
_cell_length_b 4.557
_cell_length_c 8.932
_cell_angle_alpha 90.00
_cell_angle_beta 115.70
_cell_angle_gamma 90.00
loop_
_symmetry_equiv_pos_as_xyz
'x,y,z'
'-x,-y,-z'
'-x,y,-z'
'x,-y,z'
'x+1/2,y+1/2,z'
'-x+1/2,-y+1/2,-z'
'-x+1/2,y+1/2,-z'
'x+1/2,-y+1/2,z'
loop_
_atom_site_label
_atom_site_fract_x
_atom_site_fract_y
_atom_site_fract_z
Dy1 0.000 0.000 0.000
Dy2 0.186 0.500 0.629
In1 0.022 0.000 0.353
In2 0.227 0.500 0.082
Ni1 0.098 0.500 0.268
```



[5]
The following is a PBE calculation of a geometry-optimized DyIn4Ni4 structure, from Alexandria via LeMat-Bulk.

Density of states at the Fermi level (states/eV/f.u.): 5.398
DFT formation energy (eV/atom): -0.037

```
data_DyIn4Ni4
_chemical_formula_sum 'Dy2 In8 Ni8'
_symmetry_space_group_name_H-M 'P 42/n'
_symmetry_Int_Tables_number 86
_cell_length_a 8.368
_cell_length_b 8.368
_cell_length_c 5.170
_cell_angle_alpha 90.00
_cell_angle_beta 90.00
_cell_angle_gamma 90.00
loop_
_symmetry_equiv_pos_as_xyz
'x,y,z'
'-x,-y,-z'
'-y,x+1/2,z+1/2'
'y,-x+1/2,-z+1/2'
'-x+1/2,-y+1/2,z'
'x+1/2,y+1/2,-z'
'y+1/2,-x,z+1/2'
'-y+1/2,x,-z+1/2'
loop_
_atom_site_label
_atom_site_fract_x
_atom_site_fract_y
_atom_site_fract_z
Dy1 0.250 0.250 0.250
In1 0.087 0.642 0.142
Ni1 0.045 0.605 0.641
```



[6]
The following is a PBE calculation of a geometry-optimized DyIn3Ni2 structure, from Alexandria via LeMat-Bulk.

Density of states at the Fermi level (states/eV/f.u.): 2.864
Polymorph energy (0 for the lowest one) (meV per atom): 53
DFT formation energy (eV/atom): -0.236

```
data_DyIn3Ni2
_chemical_formula_sum 'Dy6 In18 Ni12'
_symmetry_space_group_name_H-M 'C 1 2/m 1'
_symmetry_Int_Tables_number 12
_cell_length_a 17.982
_cell_length_b 4.393
_cell_length_c 10.297
_cell_angle_alpha 90.00
_cell_angle_beta 116.96
_cell_angle_gamma 90.00
loop_
_symmetry_equiv_pos_as_xyz
'x,y,z'
'-x,-y,-z'
'-x,y,-z'
'x,-y,z'
'x+1/2,y+1/2,z'
'-x+1/2,-y+1/2,-z'
'-x+1/2,y+1/2,-z'
'x+1/2,-y+1/2,z'
loop_
_atom_site_label
_atom_site_fract_x
_atom_site_fract_y
_atom_site_fract_z
Dy1 0.000 0.000 0.000
Dy2 0.168 0.000 0.682
In1 0.000 0.500 0.500
In2 0.025 0.000 0.327
In3 0.128 0.500 0.171
In4 0.179 0.500 0.939
In5 0.211 0.000 0.392
Ni1 0.019 0.500 0.830
Ni2 0.126 0.500 0.435
Ni3 0.201 0.000 0.130
```